1.
# Fe2BiCl2

A geometry-optimized Fe2BiCl2 structure (PBE, OQMD via LeMat-Bulk).

abc: 3.5376 3.5376 9.3263
angles: 90.00 90.00 120.00
Space group P-3m1 (No. 164)
One atom of each set of equivalent atoms:
Fe (0.3333, 0.6667, 0.2158) (multiplicity 2)
Bi (0.0000, 0.0000, 0.0000) (multiplicity 1)
Cl (0.3333, 0.6667, 0.6527) (multiplicity 2)

Values from the calculation:
magnetic moment: 6.1 Bohr magnetons per cell
DFT total energy: -25.1 eV per cell

2.
# Rb2FeBiCl6

A geometry-optimized Rb2FeBiCl6 structure (PBE, OQMD via LeMat-Bulk).

abc: 7.436 7.436 10.491
angles: 90.00 90.00 90.00
Space group I4/mmm (No. 139)
One atom of each set of equivalent atoms:
Rb (0.000, 0.500, 0.250) (multiplicity 4)
Fe (0.000, 0.000, 0.000) (multiplicity 2)
Bi (0.000, 0.000, 0.500) (multiplicity 2)
Cl (0.000, 0.000, 0.239) (multiplicity 4)
Cl (0.234, 0.234, 0.000) (multiplicity 8)

Values from the calculation:
magnetic moment: 6.0 Bohr magnetons per cell
DFT total energy: -74.2 eV per cell

3.
# FeBiS2Cl

A geometry-optimized FeBiS2Cl structure (PBE, OQMD via LeMat-Bulk).

abc: 9.158 3.810 12.275
angles: 90.00 90.00 90.00
Space group Pnma (No. 62)
One atom of each set of equivalent atoms:
Fe (0.002, 0.250, 0.249) (multiplicity 4)
Bi (0.214, 0.250, 0.969) (multiplicity 4)
S (0.049, 0.750, 0.119) (multiplicity 4)
S (0.248, 0.250, 0.316) (multiplicity 4)
Cl (0.057, 0.250, 0.616) (multiplicity 4)

Values from the calculation:
magnetic moment: 16.0 Bohr magnetons per cell
DFT total energy: -97.9 eV per cell

4.
# HgBiCl3

A geometry-optimized HgBiCl3 structure (PBE, OQMD via LeMat-Bulk).

abc: 6.944 7.099 9.673
angles: 72.09 75.84 62.19
Space group P-1 (No. 2)
One atom of each set of equivalent atoms:
Hg (0.171, 0.131, 0.011) (multiplicity 2)
Bi (0.332, 0.327, 0.504) (multiplicity 2)
Cl (0.034, 0.410, 0.333) (multiplicity 2)
Cl (0.343, 0.921, 0.670) (multiplicity 2)
Cl (0.395, 0.675, 0.326) (multiplicity 2)

Values from the calculation:
DFT total energy: -27.4 eV per cell